Here is an optimized crystal structure of TbPm2Dy2Er from the Alexandria database. Energies are from PBE.

## Properties
- Total DFT energy (no corrections): -4.59 eV/atom
- Total moment: 0.00 μB per formula unit
- ΔH_f (0 K): 0.064 eV per atom

Cell: 7.002 5.642 9.770 Å, 90.00 90.00 90.00°
Element x y z (fractional)
Tb 0.250 0.000 0.159
Tb 0.750 0.000 0.841
Pm 0.000 0.000 0.500
Pm 0.250 0.500 0.677
Pm 0.500 0.000 0.500
Pm 0.750 0.500 0.323
Dy 0.250 0.000 0.831
Dy 0.250 0.500 0.337
Dy 0.750 0.000 0.169
Dy 0.750 0.500 0.663
Er 0.000 0.500 0.000
Er 0.500 0.500 0.000